(1)
Density functional theory data (PBE-GGA) for a geometry-optimized Ca2NpSbN4 structure.

Geometry as POSCAR:
```
Ca2NpSbN4
1.0
-2.454 -2.413 -0.709
3.973 -3.016 -3.485
0.385 -2.034 5.588
Np Ca Sb N
1 2 1 4
direct
0.500 0.500 0.000
0.500 0.000 0.500
0.000 0.500 0.500
0.000 0.000 0.000
0.500 0.720 0.781
0.000 0.274 0.775
0.000 0.726 0.225
0.500 0.280 0.219
```

ΔE_f (raw) in kJ/mol of formula units: -549
Volume in Å³/atom: 15.1
Mass density in g/cm³: 6.8

---

(2)
Density functional theory data (PBE-GGA) for a geometry-optimized LaNd2Tm9 structure.

Geometry as POSCAR:
```
LaNd2Tm9
1.0
-3.189 -0.876 1.193
4.720 -5.982 8.227
-2.378 10.841 1.605
Nd Tm La
2 9 1
direct
0.000 0.333 0.667
0.000 0.667 0.333
0.500 0.823 0.177
0.500 0.645 0.823
0.000 0.000 0.500
0.500 0.355 0.177
0.000 0.500 0.000
0.500 0.177 0.355
0.500 0.177 0.823
0.000 0.500 0.500
0.500 0.823 0.645
0.000 0.000 0.000
```

ΔH_f (0 K) in eV per atom: 0.06
Volume in Å³/atom: 31.9
Mass density in g/cm³: 8.4

---

(3)
Density functional theory data (PBE-GGA) for a geometry-optimized Cd7Ag5Pb structure.

Geometry as POSCAR:
```
Cd7Ag5Pb
1.0
5.747 0.000 0.000
2.874 6.967 -0.029
2.874 -0.051 6.967
Pb Cd Ag
1 7 5
direct
0.002 0.998 0.998
0.996 0.658 0.349
0.504 0.197 0.796
0.651 0.349 0.349
0.504 0.796 0.197
0.277 0.223 0.223
0.996 0.349 0.658
0.341 0.659 0.659
0.001 0.499 0.000
0.001 0.000 0.499
0.500 0.000 0.499
0.500 0.499 0.000
0.728 0.772 0.772
```

ΔH_f (0 K) in eV per atom: -0.03
Volume in Å³/atom: 21.5
Mass density in g/cm³: 9.1

---

(4)
Density functional theory data (PBE-GGA) for a geometry-optimized LaPmPrHo structure.

Geometry as POSCAR:
```
LaPmPrHo
1.0
-5.754 -0.098 0.890
-3.443 -3.076 -3.549
-2.567 -4.860 1.925
Pr La Pm Ho
1 1 1 1
direct
0.750 0.750 0.750
0.250 0.250 0.250
0.500 0.500 0.500
0.000 0.000 0.000
```

ΔH_f (0 K) in eV per atom: 0.11
Volume in Å³/atom: 34.9
Mass density in g/cm³: 7.0

---

(5)
Density functional theory data (PBE-GGA) for a geometry-optimized RbNa2PuF8 structure.

Geometry as POSCAR:
```
RbNa2PuF8
1.0
4.899 0.144 0.113
0.209 5.536 0.206
0.200 0.324 8.237
Rb F Na Pu
1 8 2 1
direct
0.000 0.000 0.500
0.169 0.771 0.825
0.557 0.732 0.504
0.831 0.229 0.175
0.328 0.223 0.973
0.155 0.775 0.197
0.845 0.225 0.803
0.443 0.268 0.496
0.672 0.777 0.027
0.470 0.471 0.715
0.530 0.529 0.285
0.000 0.000 0.000
```

ΔE_f (raw) in kJ/mol of formula units: -3385
Volume in Å³/atom: 18.6
Mass density in g/cm³: 3.9

---

(6)
Density functional theory data (PBE-GGA) for a geometry-optimized SmDy5Sc5 structure.

Geometry as POSCAR:
```
SmDy5Sc5
1.0
-4.699 -3.371 0.257
4.790 -1.487 2.890
-3.657 5.787 9.039
Sc Sm Dy
5 1 5
direct
0.000 0.000 0.269
0.836 0.164 0.500
0.000 0.000 0.731
0.836 0.671 0.500
0.329 0.164 0.500
0.333 0.667 0.000
0.333 0.667 0.322
0.667 0.333 0.161
0.667 0.333 0.839
0.333 0.667 0.678
0.000 0.000 0.000
```

ΔH_f (0 K) in eV per atom: 0.24
Volume in Å³/atom: 29.9
Mass density in g/cm³: 6.0

---

(7)
Density functional theory data (PBE-GGA) for a geometry-optimized B5C7 structure.

Geometry as POSCAR:
```
B5C7
1.0
-2.479 0.824 -0.187
0.971 -1.646 -1.790
-4.426 -11.475 8.150
C B
7 5
direct
0.333 0.667 0.637
0.333 0.667 0.525
0.000 0.000 0.021
0.000 0.000 0.491
0.667 0.333 0.210
0.333 0.667 0.054
0.000 0.000 0.906
0.667 0.333 0.652
0.333 0.667 0.164
0.000 0.000 0.383
0.667 0.333 0.892
0.667 0.333 0.313
```

ΔH_f (0 K) in eV per atom: 0.36
Volume in Å³/atom: 7.3
Mass density in g/cm³: 2.6

---

(8)
Density functional theory data (PBE-GGA) for a geometry-optimized SrAcY structure.

Geometry as POSCAR:
```
SrAcY
1.0
-2.467 1.065 2.835
-0.068 -3.655 -1.377
6.465 -2.608 6.605
Ac Y Sr
1 1 1
direct
0.333 0.667 0.645
0.667 0.333 0.344
0.000 0.000 0.011
```

ΔH_f (0 K) in eV per atom: 0.11
Volume in Å³/atom: 42.3
Mass density in g/cm³: 5.3

---

(9)
Density functional theory data (PBE-GGA) for a geometry-optimized K4Mg structure.

Geometry as POSCAR:
```
K4Mg
1.0
-5.108 -4.370 2.256
1.195 -4.259 -5.542
4.771 -3.612 3.805
K Mg
4 1
direct
0.500 0.500 0.000
0.500 0.000 0.500
0.000 0.000 0.000
0.000 0.500 0.500
0.500 0.500 0.500
```

ΔH_f (0 K) in eV per atom: 0.19
Volume in Å³/atom: 71.3
Mass density in g/cm³: 0.8

---

(10)
Density functional theory data (PBE-GGA) for a geometry-optimized TaReTc structure.

Geometry as POSCAR:
```
TaReTc
1.0
6.990 -0.006 0.004
6.252 2.665 -0.003
0.738 -0.787 2.552
Tc Re Ta
1 1 1
direct
0.665 0.665 0.335
0.002 0.002 0.998
0.333 0.333 0.667
```

ΔH_f (0 K) in eV per atom: 0.00
Volume in Å³/atom: 15.9
Mass density in g/cm³: 16.2

---

(11)
Density functional theory data (PBE-GGA) for a geometry-optimized Ba8AgAu2 structure.

Geometry as POSCAR:
```
Ba8AgAu2
1.0
-2.186 -5.201 -0.812
7.337 -3.284 1.287
-3.210 2.855 10.358
Ba Au Ag
8 2 1
direct
0.590 0.434 0.180
0.043 0.800 0.085
0.669 0.972 0.339
0.331 0.028 0.661
0.787 0.662 0.575
0.957 0.200 0.915
0.213 0.338 0.425
0.410 0.566 0.820
0.194 0.732 0.388
0.806 0.268 0.612
0.500 0.000 0.000
```

ΔH_f (0 K) in eV per atom: -0.27
Volume in Å³/atom: 44.6
Mass density in g/cm³: 5.4

---

(12)
Density functional theory data (PBE-GGA) for a geometry-optimized IrRuSe2 structure.

Geometry as POSCAR:
```
IrRuSe2
1.0
3.158 0.000 0.000
0.000 3.161 0.000
0.000 0.000 6.327
Se Ru Ir
2 1 1
direct
0.000 0.000 0.994
0.000 0.000 0.506
0.500 0.500 0.750
0.500 0.500 0.250
```

ΔE_f (raw) in kJ/mol of formula units: 158
Volume in Å³/atom: 15.8
Mass density in g/cm³: 11.9

---

(13)
Density functional theory data (PBE-GGA) for a geometry-optimized Sr4Zn3Cu2 structure.

Geometry as POSCAR:
```
Sr4Zn3Cu2
1.0
-3.589 -0.052 -2.105
2.907 -5.159 -4.828
-1.898 -3.934 7.443
Zn Sr Cu
3 4 2
direct
0.000 0.500 0.000
0.904 0.736 0.808
0.096 0.264 0.192
0.426 0.125 0.851
0.767 0.306 0.533
0.233 0.694 0.467
0.574 0.875 0.149
0.412 0.541 0.824
0.588 0.459 0.176
```

ΔH_f (0 K) in eV per atom: -0.12
Volume in Å³/atom: 27.9
Mass density in g/cm³: 4.5

---

(14)
Density functional theory data (PBE-GGA) for a geometry-optimized Ni3Sn structure.

Geometry as POSCAR:
```
Ni3Sn
1.0
-1.404 -3.801 3.431
1.630 -1.301 -4.883
4.018 -0.220 1.400
Ni Sn
6 2
direct
0.840 0.160 0.250
0.160 0.319 0.750
0.319 0.160 0.250
0.160 0.840 0.750
0.840 0.681 0.250
0.681 0.840 0.750
0.667 0.333 0.750
0.333 0.667 0.250
```

ΔH_f (0 K) in eV per atom: -0.18
Volume in Å³/atom: 13.0
Mass density in g/cm³: 9.4

---

(15)
Density functional theory data (PBE-GGA) for a geometry-optimized KBi2IO8 structure.

Geometry as POSCAR:
```
KBi2IO8
1.0
5.088 0.038 -0.001
0.075 5.076 -0.004
0.007 0.009 7.457
I O K Bi
1 8 1 2
direct
0.000 0.000 0.000
0.179 0.817 0.188
0.729 0.733 0.000
0.821 0.183 0.188
0.271 0.267 0.000
0.821 0.183 0.812
0.179 0.817 0.812
0.643 0.659 0.500
0.357 0.341 0.500
0.000 0.000 0.500
0.500 0.500 0.236
0.500 0.500 0.764
```

ΔE_f (raw) in kJ/mol of formula units: -826
Volume in Å³/atom: 16.0
Mass density in g/cm³: 6.1

---

(16)
Density functional theory data (PBE-GGA) for a geometry-optimized LiPdBr structure.

Geometry as POSCAR:
```
LiPdBr
1.0
-14.446 4.679 -0.328
-6.269 -0.336 1.421
6.063 -0.050 2.162
Pd Li Br
2 2 2
direct
0.646 0.095 0.905
0.625 0.457 0.543
0.301 0.085 0.915
0.201 0.493 0.507
0.804 0.569 0.431
0.152 0.902 0.098
```

ΔE_f (raw) in kJ/mol of formula units: -153
Volume in Å³/atom: 18.7
Mass density in g/cm³: 5.7

---

(17)
Density functional theory data (PBE-GGA) for a geometry-optimized DyScZnAg structure.

Geometry as POSCAR:
```
DyScZnAg
1.0
4.960 0.000 0.000
2.480 4.295 0.000
2.480 1.432 4.050
Dy Sc Ag Zn
1 1 1 1
direct
0.000 0.000 0.000
0.500 0.500 0.500
0.250 0.250 0.250
0.750 0.750 0.750
```

ΔH_f (0 K) in eV per atom: -0.30
Volume in Å³/atom: 21.6
Mass density in g/cm³: 7.3

---

(18)
Density functional theory data (PBE-GGA) for a geometry-optimized CaScMn2 structure.

Geometry as POSCAR:
```
CaScMn2
1.0
-1.702 2.609 3.689
-2.318 -0.383 4.218
5.144 -0.400 3.729
Mn Ca Sc
2 1 1
direct
0.495 0.495 0.578
0.005 0.005 0.922
0.250 0.250 0.250
0.750 0.750 0.750
```

ΔH_f (0 K) in eV per atom: 0.47
Volume in Å³/atom: 22.4
Mass density in g/cm³: 3.6

---

(19)
Density functional theory data (PBE-GGA) for a geometry-optimized KHoSe structure.

Geometry as POSCAR:
```
KHoSe
1.0
4.483 0.000 0.000
0.000 4.483 0.000
0.000 0.000 9.014
Ho Se K
2 2 2
direct
0.500 0.500 0.500
0.000 0.000 0.500
0.000 0.500 0.262
0.500 0.000 0.738
0.500 0.000 0.137
0.000 0.500 0.863
```

ΔE_f (raw) in kJ/mol of formula units: -247
Volume in Å³/atom: 30.2
Mass density in g/cm³: 5.2

---

(20)
Density functional theory data (PBE-GGA) for a geometry-optimized Ti5Sn2Hg structure.

Geometry as POSCAR:
```
Ti5Sn2Hg
1.0
-4.448 -1.758 -0.349
2.906 0.037 -4.288
4.970 -13.224 3.253
Ti Sn Hg
10 4 2
direct
0.076 0.153 0.086
0.441 0.882 0.750
0.577 0.154 0.921
0.559 0.118 0.250
0.924 0.847 0.914
0.423 0.846 0.079
0.076 0.153 0.414
0.924 0.847 0.586
0.577 0.154 0.579
0.423 0.846 0.421
0.754 0.508 0.091
0.246 0.492 0.591
0.246 0.492 0.909
0.754 0.508 0.409
0.751 0.502 0.750
0.249 0.498 0.250
```

ΔH_f (0 K) in eV per atom: -0.01
Volume in Å³/atom: 20.0
Mass density in g/cm³: 7.0

---

(21)
Density functional theory data (PBE-GGA) for a geometry-optimized PrEr2Ag6 structure.

Geometry as POSCAR:
```
PrEr2Ag6
1.0
-3.415 0.754 4.017
5.552 -1.893 6.776
2.978 8.000 2.730
Er Ag Pr
4 12 2
direct
0.088 0.211 0.457
0.912 0.789 0.543
0.588 0.457 0.211
0.412 0.543 0.789
0.856 0.643 0.899
0.193 0.984 0.253
0.307 0.747 0.016
0.467 0.673 0.436
0.693 0.253 0.984
0.533 0.327 0.564
0.144 0.357 0.101
0.356 0.899 0.643
0.033 0.564 0.327
0.644 0.101 0.357
0.807 0.016 0.747
0.967 0.436 0.673
0.750 0.875 0.125
0.250 0.125 0.875
```

ΔH_f (0 K) in eV per atom: -0.19
Volume in Å³/atom: 22.6
Mass density in g/cm³: 9.1

---

(22)
Density functional theory data (PBE-GGA) for a geometry-optimized Hf3AgB structure.

Geometry as POSCAR:
```
Hf3AgB
1.0
4.566 0.000 0.000
0.000 4.566 0.000
0.000 0.000 4.566
Hf B Ag
3 1 1
direct
0.000 0.000 0.500
0.500 0.000 0.000
0.000 0.500 0.000
0.000 0.000 0.000
0.500 0.500 0.500
```

ΔH_f (0 K) in eV per atom: -0.12
Volume in Å³/atom: 19.0
Mass density in g/cm³: 11.4

---

(23)
Density functional theory data (PBE-GGA) for a geometry-optimized NdDy2Cd2 structure.

Geometry as POSCAR:
```
NdDy2Cd2
1.0
3.720 0.000 -0.499
0.000 5.435 0.000
-0.024 0.000 13.969
Cd Dy Nd
4 4 2
direct
0.452 0.750 0.904
0.642 0.750 0.283
0.358 0.250 0.717
0.548 0.250 0.096
0.236 0.750 0.473
0.953 0.250 0.907
0.764 0.250 0.527
0.047 0.750 0.093
0.149 0.250 0.296
0.851 0.750 0.704
```

ΔH_f (0 K) in eV per atom: -0.25
Volume in Å³/atom: 28.2
Mass density in g/cm³: 8.2

---

(24)
Density functional theory data (PBE-GGA) for a geometry-optimized La3ThCd4 structure.

Geometry as POSCAR:
```
La3ThCd4
1.0
3.886 0.000 0.000
0.000 5.534 0.000
0.000 0.000 11.084
La Cd Th
3 4 1
direct
0.500 0.500 0.500
0.500 0.000 0.247
0.500 0.000 0.753
0.000 0.500 0.754
0.000 0.000 0.000
0.000 0.000 0.500
0.000 0.500 0.246
0.500 0.500 0.000
```

ΔH_f (0 K) in eV per atom: -0.25
Volume in Å³/atom: 29.8
Mass density in g/cm³: 7.7

---

The records above yield VASP energy values of -7.507; -4.499; -1.905; -4.647; -5.666; -5.160; -7.798; -3.979; -1.011; -11.560; -2.523; -5.867; -2.199; -5.517; -4.886; -3.457; -4.065; -6.196; -3.906; -5.986; -3.635; -7.995; -3.413; -3.487 eV/atom, respectively.